CrHg6As4Br7 | meta-GGA SCAN | PBEsol geometry

Properties
As for the spin magnetization: 11.78 μB per cell. The calculation puts the density of states at the Fermi level at 0.00 states/eV/atom. Its uncorrected formation energy is -0.482 eV/atom.

Unit cell a=12.278 b=12.278 c=12.278 alpha=90.00 beta=90.00 gamma=90.00
Atoms (fractional coordinates):
Cr: 0.000 0.000 0.000
Cr: 0.000 0.500 0.500
Cr: 0.500 0.000 0.500
Cr: 0.500 0.500 0.000
Hg: 0.044 0.188 0.702
Hg: 0.044 0.312 0.202
Hg: 0.188 0.702 0.044
Hg: 0.188 0.798 0.544
Hg: 0.202 0.044 0.312
Hg: 0.202 0.456 0.812
Hg: 0.298 0.544 0.312
Hg: 0.298 0.956 0.812
Hg: 0.312 0.202 0.044
Hg: 0.312 0.298 0.544
Hg: 0.456 0.688 0.702
Hg: 0.456 0.812 0.202
Hg: 0.544 0.188 0.798
Hg: 0.544 0.312 0.298
Hg: 0.688 0.702 0.456
Hg: 0.688 0.798 0.956
Hg: 0.702 0.044 0.188
Hg: 0.702 0.456 0.688
Hg: 0.798 0.544 0.188
Hg: 0.798 0.956 0.688
Hg: 0.812 0.202 0.456
Hg: 0.812 0.298 0.956
Hg: 0.956 0.688 0.798
Hg: 0.956 0.812 0.298
As: 0.154 0.654 0.846
As: 0.154 0.846 0.346
As: 0.231 0.231 0.231
As: 0.231 0.269 0.731
As: 0.269 0.731 0.231
As: 0.269 0.769 0.731
As: 0.346 0.154 0.846
As: 0.346 0.346 0.346
As: 0.654 0.654 0.654
As: 0.654 0.846 0.154
As: 0.731 0.231 0.269
As: 0.731 0.269 0.769
As: 0.769 0.731 0.269
As: 0.769 0.769 0.769
As: 0.846 0.154 0.654
As: 0.846 0.346 0.154
Br: 0.000 0.000 0.500
Br: 0.000 0.500 0.000
Br: 0.039 0.546 0.307
Br: 0.039 0.954 0.807
Br: 0.046 0.193 0.961
Br: 0.046 0.307 0.461
Br: 0.193 0.539 0.546
Br: 0.193 0.961 0.046
Br: 0.307 0.039 0.546
Br: 0.307 0.461 0.046
Br: 0.454 0.693 0.961
Br: 0.454 0.807 0.461
Br: 0.461 0.046 0.307
Br: 0.461 0.454 0.807
Br: 0.500 0.000 0.000
Br: 0.500 0.500 0.500
Br: 0.539 0.546 0.193
Br: 0.539 0.954 0.693
Br: 0.546 0.193 0.539
Br: 0.546 0.307 0.039
Br: 0.693 0.539 0.954
Br: 0.693 0.961 0.454
Br: 0.807 0.039 0.954
Br: 0.807 0.461 0.454
Br: 0.954 0.693 0.539
Br: 0.954 0.807 0.039
Br: 0.961 0.046 0.193
Br: 0.961 0.454 0.693

SrHfGeI2 | meta-GGA SCAN | PBEsol geometry

Properties
As for the spin magnetization: 0.99 μB per cell. The calculation puts the density of states at the Fermi level at 0.40 states/eV/atom. Its uncorrected formation energy is 0.215 eV/atom.

Unit cell a=5.744 b=5.744 c=5.274 alpha=90.00 beta=90.00 gamma=90.00
Atoms (fractional coordinates):
Sr: 0.000 0.000 0.000
Hf: 0.500 0.500 0.000
Ge: 0.500 0.500 0.500
I: 0.000 0.500 0.500
I: 0.500 0.000 0.500

K3Li2Nb5O15 | meta-GGA SCAN | PBEsol geometry

Properties
Its excess energy over the best structure of this formula in the dataset is 0 meV per atom. As for the spin magnetization: 0.00 μB per cell. The calculation puts the density of states at the Fermi level at 0.00 states/eV/atom. Its uncorrected formation energy is -2.660 eV/atom.

Unit cell a=12.631 b=12.631 c=4.115 alpha=90.00 beta=90.00 gamma=90.00
Atoms (fractional coordinates):
K: 0.000 0.000 0.000
K: 0.172 0.328 0.013
K: 0.328 0.828 0.013
K: 0.500 0.500 0.000
K: 0.672 0.172 0.013
K: 0.828 0.672 0.013
Li: 0.125 0.625 0.072
Li: 0.375 0.125 0.072
Li: 0.625 0.875 0.072
Li: 0.875 0.375 0.072
Nb: 0.000 0.500 0.512
Nb: 0.076 0.793 0.515
Nb: 0.207 0.076 0.515
Nb: 0.293 0.576 0.515
Nb: 0.424 0.293 0.515
Nb: 0.500 0.000 0.512
Nb: 0.576 0.707 0.515
Nb: 0.707 0.424 0.515
Nb: 0.793 0.924 0.515
Nb: 0.924 0.207 0.515
O: 0.000 0.500 0.965
O: 0.003 0.654 0.439
O: 0.068 0.141 0.468
O: 0.081 0.784 0.967
O: 0.141 0.932 0.468
O: 0.154 0.503 0.439
O: 0.211 0.711 0.452
O: 0.216 0.081 0.967
O: 0.284 0.581 0.967
O: 0.289 0.211 0.452
O: 0.346 0.003 0.439
O: 0.359 0.432 0.468
O: 0.419 0.284 0.967
O: 0.432 0.641 0.468
O: 0.497 0.154 0.439
O: 0.500 0.000 0.965
O: 0.503 0.846 0.439
O: 0.568 0.359 0.468
O: 0.581 0.716 0.967
O: 0.641 0.568 0.468
O: 0.654 0.997 0.439
O: 0.711 0.789 0.452
O: 0.716 0.419 0.967
O: 0.784 0.919 0.967
O: 0.789 0.289 0.452
O: 0.846 0.497 0.439
O: 0.859 0.068 0.468
O: 0.919 0.216 0.967
O: 0.932 0.859 0.468
O: 0.997 0.346 0.439

Question: Among the records above, which one has the lowest spin magnetization?
Answer: K3Li2Nb5O15

Question: spin magnetization of number 1 (CrHg6As4Br7)?
Answer: 11.78 μB per cell